1.
InCu3Ni after structural relaxation, computed with GGA-PBE.

density of states at the Fermi level	0.89	states/eV per atom
magnetization	0.46	μB per cell

Unit cell a=4.732 b=4.732 c=4.732 alpha=90.00 beta=90.00 gamma=90.00
Atoms (fractional coordinates):
In  0.000  0.000  0.000
Cu  0.000  0.000  0.500
Cu  0.000  0.500  0.000
Cu  0.500  0.000  0.000
Ni  0.500  0.500  0.500

=====

2.
InCu3Ni after structural relaxation, computed with GGA-PBE.

density of states at the Fermi level	0.55	states/eV per atom
magnetization	0.00	μB per cell

Unit cell a=4.432 b=4.432 c=4.432 alpha=90.00 beta=90.00 gamma=90.00
Atoms (fractional coordinates):
In  0.000  0.000  0.000
Cu  0.000  0.500  0.500
Cu  0.500  0.000  0.500
Cu  0.500  0.500  0.000
Ni  0.500  0.500  0.500

=====

2 has the most favorable energy; the next structure is 64.7 kJ/mol of atoms above.